Record 1
# DyU2As3 PBE optimized geometry
data_DyU2As3
_cell_length_a 5.7889
_cell_length_b 8.1730
_cell_length_c 12.2992
_cell_angle_alpha 90.00
_cell_angle_beta 90.00
_cell_angle_gamma 89.94
_symmetry_space_group_name_H-M 'P 1'
_symmetry_Int_Tables_number 1
_symmetry_space_group_name_Hall 'P 1'
loop_
_atom_site_label
_atom_site_fract_x
_atom_site_fract_y
_atom_site_fract_z
Dy1 0.2496 0.8759 0.0828
Dy2 0.2496 0.3759 0.4172
Dy3 0.7504 0.6241 0.5828
Dy4 0.7504 0.1241 0.9172
U1 0.2509 0.8755 0.7506
U2 0.2509 0.3755 0.7494
U3 0.2494 0.8762 0.4165
U4 0.2494 0.3762 0.0835
U5 0.7506 0.6238 0.9165
U6 0.7506 0.1238 0.5835
U7 0.7491 0.6245 0.2506
U8 0.7491 0.1245 0.2494
As1 0.2504 0.6270 0.5840
As2 0.2504 0.1270 0.9160
As3 0.2506 0.6253 0.9165
As4 0.2506 0.1253 0.5835
As5 0.2491 0.6256 0.2507
As6 0.2491 0.1256 0.2493
As7 0.7509 0.8744 0.7507
As8 0.7509 0.3744 0.7493
As9 0.7494 0.8747 0.4165
As10 0.7494 0.3747 0.0835
As11 0.7496 0.8730 0.0840
As12 0.7496 0.3730 0.4160
# Calculated volume, Å³/atom: 24.246
# Energy of formation, eV per atom: -0.99
# VASP energy, eV/atom: -7.842

Record 2
# DyUAs2 PBE optimized geometry
data_DyUAs2
_cell_length_a 4.0307
_cell_length_b 4.0307
_cell_length_c 7.4511
_cell_angle_alpha 74.31
_cell_angle_beta 74.31
_cell_angle_gamma 60.00
_symmetry_space_group_name_H-M 'P 1'
_symmetry_Int_Tables_number 1
_symmetry_space_group_name_Hall 'P 1'
loop_
_atom_site_label
_atom_site_fract_x
_atom_site_fract_y
_atom_site_fract_z
Dy1 0.4968 0.4968 0.5095
U1 0.6693 0.6693 0.9922
As1 0.0820 0.0820 0.7541
As2 0.2519 0.2519 0.2442
# Calculated volume, Å³/atom: 24.898
# Energy of formation, eV per atom: -0.98
# VASP energy, eV/atom: -7.275
# E above lowest polymorph, meV/atom: 160

Record 3
# Dy5UAs6 PBE optimized geometry
data_Dy5UAs6
_cell_length_a 7.1124
_cell_length_b 7.1130
_cell_length_c 7.1162
_cell_angle_alpha 60.02
_cell_angle_beta 80.41
_cell_angle_gamma 70.52
_symmetry_space_group_name_H-M 'P 1'
_symmetry_Int_Tables_number 1
_symmetry_space_group_name_Hall 'P 1'
loop_
_atom_site_label
_atom_site_fract_x
_atom_site_fract_y
_atom_site_fract_z
As1 0.7522 0.0826 0.3286
As2 0.2478 0.5888 0.3286
As3 0.2469 0.2457 0.0000
As4 0.7531 0.7543 0.0000
As5 0.7522 0.4112 0.6714
As6 0.2478 0.9174 0.6714
U1 0.0000 0.0000 0.0000
Dy1 0.5000 0.1682 0.6635
Dy2 0.0000 0.3337 0.3327
Dy3 0.5000 0.5000 0.0000
Dy4 0.0000 0.6663 0.6673
Dy5 0.5000 0.8318 0.3365
# Calculated volume, Å³/atom: 24.499
# Energy of formation, eV per atom: -1.40
# VASP energy, eV/atom: -6.584

Record 4
# DyUAs PBE optimized geometry
data_DyUAs
_cell_length_a 4.2050
_cell_length_b 4.2050
_cell_length_c 8.2515
_cell_angle_alpha 90.00
_cell_angle_beta 90.00
_cell_angle_gamma 90.00
_symmetry_space_group_name_H-M 'P 1'
_symmetry_Int_Tables_number 1
_symmetry_space_group_name_Hall 'P 1'
loop_
_atom_site_label
_atom_site_fract_x
_atom_site_fract_y
_atom_site_fract_z
U1 0.8365 0.3365 0.8762
U2 0.3365 0.8365 0.1238
As1 0.8365 0.3365 0.2334
As2 0.3365 0.8365 0.7666
Dy1 0.8364 0.8364 0.5000
Dy2 0.3364 0.3364 0.5000
# Calculated volume, Å³/atom: 24.317
# Energy of formation, eV per atom: -0.35
# VASP energy, eV/atom: -7.194

Record 5
# DyU4As5 PBE optimized geometry
data_DyU4As5
_cell_length_a 4.0528
_cell_length_b 5.7760
_cell_length_c 10.9288
_cell_angle_alpha 105.32
_cell_angle_beta 100.69
_cell_angle_gamma 90.00
_symmetry_space_group_name_H-M 'P 1'
_symmetry_Int_Tables_number 1
_symmetry_space_group_name_Hall 'P 1'
loop_
_atom_site_label
_atom_site_fract_x
_atom_site_fract_y
_atom_site_fract_z
Dy1 0.0000 0.0000 0.0000
U1 0.4003 0.4003 0.8006
U2 0.7996 0.7996 0.5993
U3 0.2004 0.2004 0.4007
U4 0.5997 0.5997 0.1994
As1 0.6004 0.1004 0.2009
As2 0.8004 0.3004 0.6008
As3 0.1996 0.6996 0.3992
As4 0.0000 0.5000 0.0000
As5 0.3996 0.8996 0.7991
# Calculated volume, Å³/atom: 24.214
# Energy of formation, eV per atom: -0.88
# VASP energy, eV/atom: -8.178

Record 6
# DyUAs2 PBE optimized geometry
data_DyUAs2
_cell_length_a 5.7923
_cell_length_b 5.7923
_cell_length_c 7.0955
_cell_angle_alpha 114.09
_cell_angle_beta 114.09
_cell_angle_gamma 90.00
_symmetry_space_group_name_H-M 'P 1'
_symmetry_Int_Tables_number 1
_symmetry_space_group_name_Hall 'P 1'
loop_
_atom_site_label
_atom_site_fract_x
_atom_site_fract_y
_atom_site_fract_z
Dy1 0.7500 0.2500 0.5000
Dy2 0.0000 0.0000 0.0000
U1 0.5000 0.5000 0.0000
U2 0.2500 0.7500 0.5000
As1 0.7480 0.7480 0.4960
As2 0.4980 0.9980 0.9960
As3 0.2520 0.2520 0.5040
As4 0.0020 0.5020 0.0040
# Calculated volume, Å³/atom: 24.300
# Energy of formation, eV per atom: -1.12
# VASP energy, eV/atom: -7.415
# E above lowest polymorph, meV/atom: 20

Record 7
# DyUAs2 PBE optimized geometry
data_DyUAs2
_cell_length_a 4.0683
_cell_length_b 4.0683
_cell_length_c 7.1899
_cell_angle_alpha 73.57
_cell_angle_beta 73.57
_cell_angle_gamma 60.00
_symmetry_space_group_name_H-M 'P 1'
_symmetry_Int_Tables_number 1
_symmetry_space_group_name_Hall 'P 1'
loop_
_atom_site_label
_atom_site_fract_x
_atom_site_fract_y
_atom_site_fract_z
As1 0.2505 0.2505 0.2484
As2 0.7495 0.7495 0.7516
U1 0.0000 0.0000 0.0000
Dy1 0.5000 0.5000 0.5000
# Calculated volume, Å³/atom: 24.350
# Energy of formation, eV per atom: -1.14
# VASP energy, eV/atom: -7.435
# E above lowest polymorph, meV/atom: 0

Record 8
# DyYU2As4 PBE optimized geometry
data_DyYU2As4
_cell_length_a 4.0696
_cell_length_b 7.0503
_cell_length_c 7.1950
_cell_angle_alpha 109.05
_cell_angle_beta 90.00
_cell_angle_gamma 90.00
_symmetry_space_group_name_H-M 'P 1'
_symmetry_Int_Tables_number 1
_symmetry_space_group_name_Hall 'P 1'
loop_
_atom_site_label
_atom_site_fract_x
_atom_site_fract_y
_atom_site_fract_z
Dy1 0.5000 0.5000 0.0000
Y1 0.0000 0.0000 0.0000
U1 0.5000 0.0000 0.5000
U2 0.0000 0.5000 0.5000
As1 0.5000 0.2510 0.2521
As2 0.5000 0.7490 0.7479
As3 0.0000 0.2497 0.7482
As4 0.0000 0.7503 0.2518
# Calculated volume, Å³/atom: 24.391
# Energy of formation, eV per atom: -1.14
# VASP energy, eV/atom: -7.673

Record 9
# DyY2UAs4 PBE optimized geometry
data_DyY2UAs4
_cell_length_a 4.0973
_cell_length_b 7.1190
_cell_length_c 7.1194
_cell_angle_alpha 109.18
_cell_angle_beta 90.00
_cell_angle_gamma 90.00
_symmetry_space_group_name_H-M 'P 1'
_symmetry_Int_Tables_number 1
_symmetry_space_group_name_Hall 'P 1'
loop_
_atom_site_label
_atom_site_fract_x
_atom_site_fract_y
_atom_site_fract_z
Dy1 0.0000 0.0000 0.0000
Y1 0.5000 0.0000 0.5000
Y2 0.0000 0.5000 0.5000
U1 0.5000 0.5000 0.0000
As1 0.5000 0.2527 0.2464
As2 0.5000 0.7473 0.7536
As3 0.0000 0.2524 0.7528
As4 0.0000 0.7476 0.2472
# Calculated volume, Å³/atom: 24.517
# Energy of formation, eV per atom: -1.34
# VASP energy, eV/atom: -7.268

Record 10
# Dy2YUAs4 PBE optimized geometry
data_Dy2YUAs4
_cell_length_a 4.0946
_cell_length_b 7.1145
_cell_length_c 7.1146
_cell_angle_alpha 109.18
_cell_angle_beta 90.00
_cell_angle_gamma 90.00
_symmetry_space_group_name_H-M 'P 1'
_symmetry_Int_Tables_number 1
_symmetry_space_group_name_Hall 'P 1'
loop_
_atom_site_label
_atom_site_fract_x
_atom_site_fract_y
_atom_site_fract_z
Dy1 0.5000 0.0000 0.5000
Dy2 0.0000 0.5000 0.5000
Y1 0.0000 0.0000 0.0000
U1 0.5000 0.5000 0.0000
As1 0.5000 0.2534 0.2475
As2 0.5000 0.7466 0.7525
As3 0.0000 0.2523 0.7519
As4 0.0000 0.7477 0.2481
# Calculated volume, Å³/atom: 24.470
# Energy of formation, eV per atom: -1.34
# VASP energy, eV/atom: -7.030

Record 11
# DyZr2UAs4 PBE optimized geometry
data_DyZr2UAs4
_cell_length_a 3.9595
_cell_length_b 6.8909
_cell_length_c 6.8937
_cell_angle_alpha 109.15
_cell_angle_beta 90.00
_cell_angle_gamma 90.00
_symmetry_space_group_name_H-M 'P 1'
_symmetry_Int_Tables_number 1
_symmetry_space_group_name_Hall 'P 1'
loop_
_atom_site_label
_atom_site_fract_x
_atom_site_fract_y
_atom_site_fract_z
Dy1 0.0000 0.0000 0.0000
Zr1 0.5000 0.0000 0.5000
Zr2 0.0000 0.5000 0.5000
U1 0.5000 0.5000 0.0000
As1 0.5000 0.2558 0.2613
As2 0.5000 0.7442 0.7387
As3 0.0000 0.2466 0.7382
As4 0.0000 0.7534 0.2618
# Calculated volume, Å³/atom: 22.210
# Energy of formation, eV per atom: -1.14
# VASP energy, eV/atom: -7.587

energy of formation of number 2 (DyUAs2)?
-0.98 eV per atom